Record 1
! LaNiGe2 | Alexandria | meta-GGA SCAN | PBEsol geometry; values from VASP
! - volume (Å³ per atom) = 18.72
! - ΔH_f (0 K) (meV/atom) = -862
! - uncorrected energy (eV per atom) = -25.2255
! - total moment (μB/cell) = 0.0
! - density (g cm⁻³) = 7.60
&SYSTEM
  ibrav = 0, nat = 8, ntyp = 3
/
ATOMIC_SPECIES
Ni 58.69 Ni.upf
Ge 72.64 Ge.upf
La 138.91 La.upf
CELL_PARAMETERS angstrom
4.213 0.000 0.000
0.000 4.257 0.000
0.000 2.129 8.353
ATOMIC_POSITIONS angstrom
Ni 1.053 2.129 5.308
Ge 1.053 2.129 7.638
Ge 3.159 4.257 0.715
Ge 1.053 4.257 4.176
La 1.053 2.129 1.815
Ge 3.159 2.129 4.177
La 3.159 4.257 6.538
Ni 3.159 4.257 3.045

***

Record 2
! Mn2TlBiP | Alexandria | meta-GGA SCAN | PBEsol geometry; values from VASP
! - volume (Å³ per atom) = 28.43
! - ΔH_f (0 K) (meV/atom) = 1065
! - uncorrected energy (eV per atom) = -38.5044
! - total moment (μB/cell) = 9.5
! - density (g cm⁻³) = 6.47
&SYSTEM
  ibrav = 0, nat = 5, ntyp = 4
/
ATOMIC_SPECIES
Bi 208.98 Bi.upf
Mn 54.94 Mn.upf
Tl 204.38 Tl.upf
P 30.97 P.upf
CELL_PARAMETERS angstrom
-1.244 4.825 -0.258
-3.160 -1.014 -3.725
-4.184 -0.876 3.787
ATOMIC_POSITIONS angstrom
Bi -2.092 -0.438 1.894
Mn -1.580 -0.507 -1.863
Tl 0.000 0.000 0.000
Mn -0.622 2.412 -0.129
P -4.294 1.467 -0.098

***

Record 3
! TlMo4Cl | Alexandria | meta-GGA SCAN | PBEsol geometry; values from VASP
! - volume (Å³ per atom) = 17.60
! - uncorrected energy (eV per atom) = -35.7009
! - formation energy (no corrections) (meV/atom) = 945
! - total moment (μB/cell) = 0.0
! - density (g cm⁻³) = 9.81
&SYSTEM
  ibrav = 0, nat = 6, ntyp = 3
/
ATOMIC_SPECIES
Cl 35.45 Cl.upf
Mo 95.94 Mo.upf
Tl 204.38 Tl.upf
CELL_PARAMETERS angstrom
5.305 0.000 0.000
2.653 4.595 0.000
2.653 1.532 4.332
ATOMIC_POSITIONS angstrom
Cl 0.000 0.000 0.000
Mo 6.688 2.265 1.601
Mo 5.305 3.063 3.859
Tl 7.958 4.595 3.249
Mo 3.923 2.265 1.601
Mo 5.305 4.660 1.601

***

Record 4
! LiIrN2O | Alexandria | meta-GGA SCAN | PBEsol geometry; values from VASP
! - volume (Å³ per atom) = 8.38
! - uncorrected energy (eV per atom) = -17.9218
! - formation energy (no corrections) (meV/atom) = 1739
! - total moment (μB/cell) = 0.0
! - density (g cm⁻³) = 9.63
&SYSTEM
  ibrav = 0, nat = 5, ntyp = 4
/
ATOMIC_SPECIES
N 14.01 N.upf
O 16.00 O.upf
Li 6.94 Li.upf
Ir 192.22 Ir.upf
CELL_PARAMETERS angstrom
-2.606 -0.501 -2.251
-0.999 -2.806 1.781
-2.072 1.980 1.957
ATOMIC_POSITIONS angstrom
N -0.499 -1.403 0.890
O -1.303 -0.251 -1.126
Li 0.000 0.000 0.000
Ir -2.838 -0.664 0.743
N -1.036 0.990 0.979

***

Record 5
! BeSeN2F | Alexandria | meta-GGA SCAN | PBEsol geometry; values from VASP
! - volume (Å³ per atom) = 15.77
! - uncorrected energy (eV per atom) = -7.2950
! - formation energy (no corrections) (meV/atom) = 2016
! - total moment (μB/cell) = 3.9
! - density (g cm⁻³) = 2.84
&SYSTEM
  ibrav = 0, nat = 5, ntyp = 4
/
ATOMIC_SPECIES
N 14.01 N.upf
Se 78.96 Se.upf
Be 9.01 Be.upf
F 19.00 F.upf
CELL_PARAMETERS angstrom
3.539 0.000 0.000
0.000 3.539 0.000
0.000 0.000 6.294
ATOMIC_POSITIONS angstrom
N 1.770 0.000 0.000
Se 0.000 0.000 3.147
Be 1.770 1.770 3.147
N 0.000 1.770 0.000
F 0.000 0.000 0.000

***

Record 6
! LaGaAs3 | Alexandria | meta-GGA SCAN | PBEsol geometry; values from VASP
! - volume (Å³ per atom) = 34.19
! - ΔH_f (0 K) (meV/atom) = 628
! - uncorrected energy (eV per atom) = -23.3770
! - total moment (μB/cell) = 0.0
! - density (g cm⁻³) = 4.21
&SYSTEM
  ibrav = 0, nat = 5, ntyp = 3
/
ATOMIC_SPECIES
As 74.92 As.upf
Ga 69.72 Ga.upf
La 138.91 La.upf
CELL_PARAMETERS angstrom
-3.415 -4.368 -0.248
4.215 -3.201 -1.669
1.171 -1.215 5.287
ATOMIC_POSITIONS angstrom
As 2.107 -1.601 -0.835
As 0.585 -0.608 2.644
As -1.708 -2.184 -0.124
Ga 0.985 -4.392 1.685
La 0.000 0.000 0.000

***

Record 7
! NaReRh2 | Alexandria | meta-GGA SCAN | PBEsol geometry; values from VASP
! - volume (Å³ per atom) = 14.37
! - ΔH_f (0 K) (meV/atom) = 454
! - uncorrected energy (eV per atom) = -35.2601
! - total moment (μB/cell) = 0.0
! - density (g cm⁻³) = 11.99
&SYSTEM
  ibrav = 0, nat = 4, ntyp = 3
/
ATOMIC_SPECIES
Rh 102.91 Rh.upf
Re 186.21 Re.upf
Na 22.99 Na.upf
CELL_PARAMETERS angstrom
-3.544 2.361 -0.793
-1.200 0.800 -4.085
-3.543 -1.890 -1.627
ATOMIC_POSITIONS angstrom
Rh -6.215 0.954 -4.879
Rh -2.072 0.318 -1.626
Re -4.143 0.636 -3.253
Na 0.000 0.000 0.000

***

Record 8
! LaSbTe | Alexandria | meta-GGA SCAN | PBEsol geometry; values from VASP
! - volume (Å³ per atom) = 29.94
! - uncorrected energy (eV per atom) = -40.6251
! - formation energy (no corrections) (meV/atom) = -1419
! - total moment (μB/cell) = 0.0
! - density (g cm⁻³) = 7.18
&SYSTEM
  ibrav = 0, nat = 6, ntyp = 3
/
ATOMIC_SPECIES
Te 127.60 Te.upf
Sb 121.76 Sb.upf
La 138.91 La.upf
CELL_PARAMETERS angstrom
4.362 0.000 0.000
0.000 4.362 0.000
0.000 0.000 9.443
ATOMIC_POSITIONS angstrom
Te 2.181 0.000 5.939
Sb 2.181 2.181 0.000
La 2.181 0.000 2.615
Sb 0.000 0.000 0.000
Te 0.000 2.181 3.504
La 0.000 2.181 6.828

***

Record 9
! AgC3I | Alexandria | meta-GGA SCAN | PBEsol geometry; values from VASP
! - volume (Å³ per atom) = 14.20
! - uncorrected energy (eV per atom) = -16.0863
! - formation energy (no corrections) (meV/atom) = 3595
! - total moment (μB/cell) = 1.0
! - density (g cm⁻³) = 6.34
&SYSTEM
  ibrav = 0, nat = 5, ntyp = 3
/
ATOMIC_SPECIES
C 12.01 C.upf
I 126.90 I.upf
Ag 107.87 Ag.upf
CELL_PARAMETERS angstrom
4.140 0.000 0.000
0.000 4.140 0.000
0.000 0.000 4.140
ATOMIC_POSITIONS angstrom
C 0.000 0.000 2.070
I 0.000 0.000 0.000
Ag 2.070 2.070 2.070
C 2.070 0.000 0.000
C 0.000 2.070 0.000

***

Record 10
! Si2AsPtN | Alexandria | meta-GGA SCAN | PBEsol geometry; values from VASP
! - volume (Å³ per atom) = 14.09
! - uncorrected energy (eV per atom) = -23.2209
! - formation energy (no corrections) (meV/atom) = 720
! - total moment (μB/cell) = 0.0
! - density (g cm⁻³) = 8.02
&SYSTEM
  ibrav = 0, nat = 5, ntyp = 4
/
ATOMIC_SPECIES
N 14.01 N.upf
Si 28.09 Si.upf
Pt 195.08 Pt.upf
As 74.92 As.upf
CELL_PARAMETERS angstrom
-3.215 2.119 1.438
-2.002 -3.519 0.712
1.621 -0.146 3.839
ATOMIC_POSITIONS angstrom
N 0.000 0.000 0.000
Si -1.001 -1.759 0.356
Pt 0.811 -0.073 1.919
Si -1.607 1.060 0.719
As -1.797 -0.773 2.994

***

Record 11
! MnHgTeN2 | Alexandria | meta-GGA SCAN | PBEsol geometry; values from VASP
! - volume (Å³ per atom) = 15.47
! - uncorrected energy (eV per atom) = -27.7941
! - formation energy (no corrections) (meV/atom) = 657
! - total moment (μB/cell) = 0.5
! - density (g cm⁻³) = 8.83
&SYSTEM
  ibrav = 0, nat = 5, ntyp = 4
/
ATOMIC_SPECIES
Mn 54.94 Mn.upf
N 14.01 N.upf
Hg 200.59 Hg.upf
Te 127.60 Te.upf
CELL_PARAMETERS angstrom
-2.198 2.725 -1.397
-2.935 -2.364 0.007
-1.258 1.578 5.057
ATOMIC_POSITIONS angstrom
Mn 0.000 0.000 0.000
N -1.099 1.362 -0.698
N -1.468 -1.182 0.004
Hg -3.195 0.969 1.834
Te -0.629 0.789 2.529

***

Record 12
! MgZn3 | Alexandria | meta-GGA SCAN | PBEsol geometry; values from VASP
! - volume (Å³ per atom) = 15.60
! - ΔH_f (0 K) (meV/atom) = -23
! - uncorrected energy (eV per atom) = -11.4031
! - total moment (μB/cell) = 0.0
! - density (g cm⁻³) = 5.87
&SYSTEM
  ibrav = 0, nat = 4, ntyp = 2
/
ATOMIC_SPECIES
Zn 65.41 Zn.upf
Mg 24.30 Mg.upf
CELL_PARAMETERS angstrom
-1.538 2.026 1.257
1.155 -1.837 4.376
3.822 2.563 -2.659
ATOMIC_POSITIONS angstrom
Zn 0.193 -0.517 4.273
Zn 1.671 1.473 2.873
Zn 1.755 1.300 0.052
Mg 0.398 -0.634 1.509

***

Record 13
! Ni2RuBr | Alexandria | meta-GGA SCAN | PBEsol geometry; values from VASP
! - volume (Å³ per atom) = 13.51
! - uncorrected energy (eV per atom) = -20.9872
! - formation energy (no corrections) (meV/atom) = 671
! - total moment (μB/cell) = 0.0
! - density (g cm⁻³) = 9.17
! - energy relative to the lowest polymorph listed for this composition (eV per formula unit) = 0.00
&SYSTEM
  ibrav = 0, nat = 4, ntyp = 3
/
ATOMIC_SPECIES
Br 79.90 Br.upf
Ni 58.69 Ni.upf
Ru 101.07 Ru.upf
CELL_PARAMETERS angstrom
2.819 0.000 0.000
1.409 2.441 0.000
1.409 0.814 7.852
ATOMIC_POSITIONS angstrom
Br 0.000 0.000 0.000
Ni 4.228 2.441 5.846
Ru 2.819 1.627 3.926
Ni 1.409 0.814 2.006

***

Record 14
! Zn2HgPdN | Alexandria | meta-GGA SCAN | PBEsol geometry; values from VASP
! - volume (Å³ per atom) = 19.61
! - uncorrected energy (eV per atom) = -26.0736
! - formation energy (no corrections) (meV/atom) = 1379
! - total moment (μB/cell) = 1.2
! - density (g cm⁻³) = 7.65
&SYSTEM
  ibrav = 0, nat = 5, ntyp = 4
/
ATOMIC_SPECIES
Hg 200.59 Hg.upf
N 14.01 N.upf
Zn 65.41 Zn.upf
Pd 106.42 Pd.upf
CELL_PARAMETERS angstrom
3.899 0.000 0.000
0.000 5.015 0.000
0.000 0.000 5.015
ATOMIC_POSITIONS angstrom
Hg 0.000 0.000 0.000
N 1.950 0.000 0.000
Zn 0.000 0.000 2.507
Zn 0.000 2.507 0.000
Pd 1.950 2.507 2.507

***

Record 15
! KAgCl2 | Alexandria | meta-GGA SCAN | PBEsol geometry; values from VASP
! - volume (Å³ per atom) = 25.69
! - uncorrected energy (eV per atom) = -15.2344
! - formation energy (no corrections) (meV/atom) = -1321
! - total moment (μB/cell) = 0.0
! - density (g cm⁻³) = 3.52
&SYSTEM
  ibrav = 0, nat = 4, ntyp = 3
/
ATOMIC_SPECIES
Cl 35.45 Cl.upf
K 39.10 K.upf
Ag 107.87 Ag.upf
CELL_PARAMETERS angstrom
3.895 0.000 0.000
0.000 5.137 0.000
0.000 0.000 5.137
ATOMIC_POSITIONS angstrom
Cl 3.795 2.569 0.000
K 1.948 0.000 0.000
Ag 3.891 2.569 2.569
Cl 0.102 0.000 2.569

***

Record 16
! SbP2CS | Alexandria | meta-GGA SCAN | PBEsol geometry; values from VASP
! - volume (Å³ per atom) = 14.50
! - uncorrected energy (eV per atom) = -14.3425
! - formation energy (no corrections) (meV/atom) = 1215
! - total moment (μB/cell) = 0.0
! - density (g cm⁻³) = 5.22
&SYSTEM
  ibrav = 0, nat = 5, ntyp = 4
/
ATOMIC_SPECIES
P 30.97 P.upf
C 12.01 C.upf
S 32.06 S.upf
Sb 121.76 Sb.upf
CELL_PARAMETERS angstrom
4.183 0.000 0.000
0.000 4.183 0.000
0.000 0.000 4.142
ATOMIC_POSITIONS angstrom
P 2.092 0.000 0.000
P 0.000 2.092 0.000
C 0.000 0.000 0.000
S 0.000 0.000 2.071
Sb 2.092 2.092 2.071

***

Record 17
! LaPIr2W | Alexandria | meta-GGA SCAN | PBEsol geometry; values from VASP
! - volume (Å³ per atom) = 18.39
! - ΔH_f (0 K) (meV/atom) = 37
! - uncorrected energy (eV per atom) = -53.0414
! - total moment (μB/cell) = 1.7
! - density (g cm⁻³) = 13.33
&SYSTEM
  ibrav = 0, nat = 5, ntyp = 4
/
ATOMIC_SPECIES
P 30.97 P.upf
W 183.84 W.upf
Ir 192.22 Ir.upf
La 138.91 La.upf
CELL_PARAMETERS angstrom
4.498 0.000 0.000
0.000 4.498 0.000
0.000 0.000 4.545
ATOMIC_POSITIONS angstrom
P 0.000 0.000 0.000
W 0.000 0.000 2.272
Ir 2.249 0.000 0.000
Ir 0.000 2.249 0.000
La 2.249 2.249 2.272

***

Record 18
! SiHgAsSe2 | Alexandria | meta-GGA SCAN | PBEsol geometry; values from VASP
! - volume (Å³ per atom) = 22.13
! - uncorrected energy (eV per atom) = -27.2403
! - formation energy (no corrections) (meV/atom) = 466
! - total moment (μB/cell) = 0.0
! - density (g cm⁻³) = 6.93
&SYSTEM
  ibrav = 0, nat = 5, ntyp = 4
/
ATOMIC_SPECIES
Se 78.96 Se.upf
As 74.92 As.upf
Hg 200.59 Hg.upf
Si 28.09 Si.upf
CELL_PARAMETERS angstrom
-0.676 -4.652 -0.570
-0.019 -0.573 4.701
-4.883 0.702 0.066
ATOMIC_POSITIONS angstrom
Se -0.338 -2.326 -0.285
As -2.442 0.351 0.033
Hg -2.789 -2.262 2.098
Si 0.000 0.000 0.000
Se -0.010 -0.287 2.350

***

Record 19
! Y2RuPbCl | Alexandria | meta-GGA SCAN | PBEsol geometry; values from VASP
! - volume (Å³ per atom) = 28.52
! - uncorrected energy (eV per atom) = -35.3847
! - formation energy (no corrections) (meV/atom) = -531
! - total moment (μB/cell) = 0.0
! - density (g cm⁻³) = 6.07
&SYSTEM
  ibrav = 0, nat = 5, ntyp = 4
/
ATOMIC_SPECIES
Ru 101.07 Ru.upf
Pb 207.20 Pb.upf
Y 88.91 Y.upf
Cl 35.45 Cl.upf
CELL_PARAMETERS angstrom
5.079 0.000 0.000
0.000 5.299 0.000
0.000 0.000 5.299
ATOMIC_POSITIONS angstrom
Ru 0.000 0.000 0.000
Pb 2.539 0.000 0.000
Y 0.000 2.650 0.000
Cl 2.539 2.650 2.650
Y 0.000 0.000 2.650

***

Record 20
! P2RhSO | Alexandria | meta-GGA SCAN | PBEsol geometry; values from VASP
! - volume (Å³ per atom) = 13.23
! - uncorrected energy (eV per atom) = -13.4023
! - formation energy (no corrections) (meV/atom) = 683
! - total moment (μB/cell) = 0.0
! - density (g cm⁻³) = 5.34
&SYSTEM
  ibrav = 0, nat = 5, ntyp = 4
/
ATOMIC_SPECIES
S 32.06 S.upf
P 30.97 P.upf
Rh 102.91 Rh.upf
O 16.00 O.upf
CELL_PARAMETERS angstrom
-1.542 2.508 -2.660
-1.097 -3.072 -2.260
-3.694 -0.151 1.999
ATOMIC_POSITIONS angstrom
S -1.847 -0.076 1.000
P -0.771 1.254 -1.330
P -0.548 -1.536 -1.130
Rh -3.167 -0.358 -1.460
O 0.000 0.000 0.000